YSi2P: PBEsol geometry, meta-GGA SCAN.

a = 3.4850 Å, b = 4.8352 Å, c = 4.8429 Å
α = 110.41°, β = 111.09°, γ = 90.00°
Positions (direct):
P 0.2819 0.8523 0.5637
Si 0.9994 0.0005 0.9989
Si 0.7213 0.1463 0.4426
Y 0.4974 0.5009 0.9948

Summary:
Its total magnetization is 0.00 Bohr magnetons per cell. The calculation puts the total energy at -14.89 eV per atom. The space-group type is Cm.


Si2H5CNCl4: PBEsol geometry, meta-GGA SCAN.

a = 7.6026 Å, b = 10.4419 Å, c = 11.8665 Å
α = 90.00°, β = 90.00°, γ = 92.16°
Positions (direct):
Cl 0.9248 0.1216 0.8923
Cl 0.6009 0.6828 0.3685
Cl 0.3914 0.0469 0.3446
Cl 0.3914 0.5469 0.1554
Cl 0.6086 0.9531 0.6554
Cl 0.3991 0.8172 0.8685
Cl 0.1071 0.2574 0.1136
Cl 0.9248 0.6216 0.6077
Cl 0.3991 0.3172 0.6315
Cl 0.8929 0.2426 0.6136
Cl 0.0752 0.3784 0.3923
Cl 0.6086 0.4531 0.8446
Cl 0.0752 0.8784 0.1077
Cl 0.6009 0.1828 0.1315
Cl 0.1071 0.7574 0.3864
Cl 0.8929 0.7426 0.8864
H 0.7879 0.4869 0.1049
H 0.0133 0.9164 0.6010
H 0.7124 0.4138 0.4601
H 0.7124 0.9138 0.0399
H 0.2121 0.5131 0.8951
H 0.8820 0.5529 0.2323
H 0.7879 0.9869 0.3951
H 0.1180 0.9471 0.7323
H 0.9867 0.0836 0.3990
H 0.4779 0.8211 0.1718
H 0.5221 0.1789 0.8282
H 0.5221 0.6789 0.6718
H 0.4779 0.3211 0.3282
H 0.0133 0.4164 0.8990
H 0.2876 0.0862 0.9601
H 0.1180 0.4471 0.7677
H 0.2876 0.5862 0.5399
H 0.8820 0.0529 0.2677
H 0.2121 0.0131 0.6049
H 0.9867 0.5836 0.1010
Si 0.5588 0.1976 0.3020
Si 0.1617 0.1910 0.9555
Si 0.4412 0.8024 0.6980
Si 0.1617 0.6910 0.5445
Si 0.8383 0.3090 0.4555
Si 0.5588 0.6976 0.1980
Si 0.4412 0.3024 0.8020
Si 0.8383 0.8090 0.0445
C 0.1428 0.9286 0.6423
C 0.1428 0.4286 0.8577
C 0.8572 0.5714 0.1423
C 0.8572 0.0714 0.3577
N 0.7548 0.6873 0.1277
N 0.2452 0.3127 0.8723
N 0.7548 0.1873 0.3723
N 0.2452 0.8127 0.6277

Summary:
Its total magnetization is 0.26 Bohr magnetons per cell. The calculation puts the total energy at -7.52 eV per atom. The space-group type is P2_1/c.


> What is the total magnetization in the second record?

0.26 Bohr magnetons per cell


What did the first record say?
YSi2P: PBEsol geometry, meta-GGA SCAN.

a = 3.4850 Å, b = 4.8352 Å, c = 4.8429 Å
α = 110.41°, β = 111.09°, γ = 90.00°
Positions (direct):
P 0.2819 0.8523 0.5637
Si 0.9994 0.0005 0.9989
Si 0.7213 0.1463 0.4426
Y 0.4974 0.5009 0.9948

Summary:
Its total magnetization is 0.00 Bohr magnetons per cell. The calculation puts the total energy at -14.89 eV per atom. The space-group type is Cm.


What did the first record say?
YSi2P: PBEsol geometry, meta-GGA SCAN.

a = 3.4850 Å, b = 4.8352 Å, c = 4.8429 Å
α = 110.41°, β = 111.09°, γ = 90.00°
Positions (direct):
P 0.2819 0.8523 0.5637
Si 0.9994 0.0005 0.9989
Si 0.7213 0.1463 0.4426
Y 0.4974 0.5009 0.9948

Summary:
Its total magnetization is 0.00 Bohr magnetons per cell. The calculation puts the total energy at -14.89 eV per atom. The space-group type is Cm.